Record 1
Computed, not measured: an optimized crystal structure of Os2AuSe at the PBE-GGA level of DFT.

The structure in POSCAR format:
```
Os2AuSe
1.0
2.816 0.000 0.000
0.000 4.807 0.000
0.000 0.000 9.529
Os Au Se
4 2 2
direct
0.000 0.000 0.240
0.000 0.000 0.760
0.500 0.500 0.240
0.500 0.500 0.760
0.000 0.500 0.500
0.500 0.000 0.500
0.000 0.500 0.000
0.500 0.000 0.000
```

Calculated values
Total magnetization: 0.0000 μB per atom
Space group: Cmmm
E: -6.3610 eV per atom
Uncorrected formation energy: 91.12 kJ per mole of atoms

Record 2
Computed, not measured: an optimized crystal structure of CrB at the PBE-GGA level of DFT.

The structure in POSCAR format:
```
CrB
1.0
2.929 0.000 0.000
0.000 2.911 0.000
-1.459 0.000 3.917
Cr B
2 2
direct
0.145 0.250 0.291
0.855 0.750 0.709
0.436 0.250 0.871
0.564 0.750 0.129
```

Calculated values
Total magnetization: 0.0000 μB per atom
E_form: -51.5 kJ per mole of atoms
Space group: P2_1/m
E: -8.6840 eV per atom

Q: Which formula does entry 1 have?
A: Os2AuSe

Q: What is the E in the second record?
A: -8.6840 eV per atom

Q: E of number 2 (CrB)?
A: -8.6840 eV per atom